1.
# Ba7Ga4P9 | the Alexandria database | meta-GGA SCAN | single point on PBEsol structure
# Formation energy from the elements   -96 kJ per mole of atoms
# Fermi-level density of states   1.5 states/eV/cell
# Electronic total energy   -22.786 eV/atom
data_Ba7Ga4P9
_cell_length_a 9.8493
_cell_length_b 16.4943
_cell_length_c 6.6113
_cell_angle_alpha 90.00
_cell_angle_beta 90.00
_cell_angle_gamma 90.00
_symmetry_space_group_name_H-M 'P m m n'
_symmetry_Int_Tables_number 59
loop_
_symmetry_equiv_pos_as_xyz
'x,y,z'
'-x,-y,-z'
'-x+1/2,-y+1/2,z'
'x+1/2,y+1/2,-z'
'x+1/2,-y,-z'
'-x+1/2,y,z'
'-x,y+1/2,-z'
'x,-y+1/2,z'
loop_
_atom_site_label
_atom_site_type_symbol
_atom_site_fract_x
_atom_site_fract_y
_atom_site_fract_z
Ba1 Ba 0.0286 0.1253 0.0597
Ba2 Ba 0.2500 0.0337 0.5504
Ba3 Ba 0.2500 0.7500 0.6013
Ga1 Ga 0.0740 0.2500 0.5757
Ga2 Ga 0.2500 0.6267 0.2339
P1 P 0.0416 0.6226 0.4359
P2 P 0.2500 0.2500 0.3122
P3 P 0.2500 0.2500 0.8376
P4 P 0.2500 0.5143 0.0185
P5 P 0.2500 0.7500 0.0523

***

2.
# LiMo3 | the Alexandria database | meta-GGA SCAN | single point on PBEsol structure
# Formation energy from the elements   39 kJ per mole of atoms
# Energy above the lowest structure with this stoichiometry   139 meV per atom
# Fermi-level density of states   4.6 states/eV/cell
# Electronic total energy   -26.355 eV/atom
data_LiMo3
_cell_length_a 9.0374
_cell_length_b 2.5273
_cell_length_c 5.2073
_cell_angle_alpha 90.00
_cell_angle_beta 92.10
_cell_angle_gamma 90.00
_symmetry_space_group_name_H-M 'C 1 2/m 1'
_symmetry_Int_Tables_number 12
loop_
_symmetry_equiv_pos_as_xyz
'x,y,z'
'-x,-y,-z'
'-x,y,-z'
'x,-y,z'
'x+1/2,y+1/2,z'
'-x+1/2,-y+1/2,-z'
'-x+1/2,y+1/2,-z'
'x+1/2,-y+1/2,z'
loop_
_atom_site_label
_atom_site_type_symbol
_atom_site_fract_x
_atom_site_fract_y
_atom_site_fract_z
Li1 Li 0.0000 0.0000 0.0000
Mo1 Mo 0.0000 0.5000 0.5000
Mo2 Mo 0.2469 0.5000 0.2433

***

3.
# LaSnPd3 | the Alexandria database | meta-GGA SCAN | single point on PBEsol structure
# Formation energy from the elements   -30 kJ per mole of atoms
# Fermi-level density of states   2.6 states/eV/cell
# Electronic total energy   -35.777 eV/atom
data_LaSnPd3
_cell_length_a 4.9011
_cell_length_b 4.9011
_cell_length_c 4.9011
_cell_angle_alpha 90.00
_cell_angle_beta 90.00
_cell_angle_gamma 90.00
_symmetry_space_group_name_H-M 'P m -3 m'
_symmetry_Int_Tables_number 221
_symmetry_space_group_name_Hall '-P 4 2 3'
loop_
_atom_site_label
_atom_site_type_symbol
_atom_site_fract_x
_atom_site_fract_y
_atom_site_fract_z
La1 La 0.0000 0.0000 0.0000
Sn1 Sn 0.5000 0.5000 0.5000
Pd1 Pd 0.0000 0.5000 0.5000